Entry from Alexandria via LeMat-Bulk: crystalline Ti2Pd9Pt at its relaxed geometry (GGA-PBE).

Output
As for the total magnetization: 0.00 μB/cell. Its formation energy is -0.46 eV per atom.

Lattice parameters (Å, degrees): 3.9327 3.9327 11.8349 90.00 90.00 90.00
Space group P4/mmm (No. 123)
Asymmetric unit:
Ti  0.0000  0.0000  0.1703 x2
Pd  0.0000  0.5000  0.0000 x2
Pd  0.0000  0.5000  0.3260 x4
Pd  0.5000  0.5000  0.1634 x2
Pd  0.5000  0.5000  0.5000 x1
Pt  0.0000  0.0000  0.5000 x1



Entry from Alexandria via LeMat-Bulk: crystalline Ti6Pd12Pt at its relaxed geometry (GGA-PBE).

Output
As for the total magnetization: 0.02 μB/cell. Its formation energy is -0.50 eV per atom.

Lattice parameters (Å, degrees): 9.4141 9.4141 11.8388 90.00 90.00 120.00
Space group R-3 (No. 148, hexagonal axes)
Asymmetric unit:
Ti  0.0215  0.5927  0.2139 x18
Pd  0.0274  0.8407  0.3171 x18
Pd  0.0535  0.2114  0.9123 x18
Pt  0.0000  0.0000  0.5000 x3



Entry from Alexandria via LeMat-Bulk: crystalline TiPd3Pt6 at its relaxed geometry (GGA-PBE).

Output
As for the total magnetization: 0.00 μB/cell. Its formation energy is -0.37 eV per atom.

Lattice parameters (Å, degrees): 8.8379 3.9370 8.9110 90.00 90.50 90.00
Space group P2_1/m (No. 11)
Asymmetric unit:
Ti  0.0606  0.2500  0.3826 x2
Pd  0.2500  0.2500  0.9925 x2
Pd  0.3486  0.7500  0.7941 x2
Pd  0.4500  0.2500  0.5999 x2
Pt  0.0486  0.7500  0.8957 x2
Pt  0.1357  0.2500  0.6866 x2
Pt  0.1509  0.7500  0.2026 x2
Pt  0.2354  0.7500  0.4983 x2
Pt  0.3472  0.2500  0.3012 x2
Pt  0.4481  0.7500  0.0978 x2